A plane-wave DFT calculation with GGA+U was carried out for an optimized crystal structure of LiYMoO4.

## Properties
* electronic total energy: -207.4 eV per cell

Lattice parameters (Å, degrees): 6.3221 6.8338 9.1412 90.00 90.00 90.00
With the nearest neighbours (Å) after each atom.
Space group Imma (No. 74)
Asymmetric unit:
Li  0.0000  0.2500  0.0963 (multiplicity 4)  2 O 2.00
Y  0.0000  0.0000  0.5000 (multiplicity 4)  6 O 2.28
Mo  0.2500  0.2500  0.7500 (multiplicity 4)  6 O 2.06-2.13
O  0.0000  0.0418  0.7470 (multiplicity 8)  2 Mo 2.13, 1 Y 2.28
O  0.2367  0.2500  0.5250 (multiplicity 8)  1 Li 2.00, 1 Mo 2.06